No. 1
Below is Ni2TeOsW after structural relaxation, with properties calculated at the GGA-PBEsol level.

a = 4.344 Å, b = 4.344 Å, c = 4.965 Å
α = 90.00°, β = 90.00°, γ = 90.00°
Site moments in Bohr magnetons follow the coordinates.
Fractional coordinates of all 5 atoms:
W 0.000 0.000 0.500  -0.10
Ni 0.500 0.000 0.000  0.15
Ni 0.000 0.500 0.000  0.15
Te 0.000 0.000 0.000  0.03
Os 0.500 0.500 0.500  1.53

## Properties
Raw formation energy = 2083 meV per atom


No. 2
Below is BeTe2 after structural relaxation, with properties calculated at the GGA-PBEsol level.

a = 3.591 Å, b = 3.591 Å, c = 5.153 Å
α = 90.00°, β = 90.00°, γ = 90.00°
Fractional coordinates of all 3 atoms:
Te 0.000 0.000 0.500
Te 0.500 0.500 0.000
Be 0.000 0.000 0.000

## Properties
Raw formation energy = 197 meV per atom
Distance to the lowest polymorph of the same formula = 139 meV per atom


No. 3
Below is Mg2ZnPb after structural relaxation, with properties calculated at the GGA-PBEsol level.

a = 3.333 Å, b = 4.449 Å, c = 6.164 Å
α = 90.00°, β = 105.92°, γ = 90.00°
Fractional coordinates of all 4 atoms:
Zn 0.337 0.500 0.802
Mg 0.914 0.000 0.952
Mg 0.568 0.500 0.261
Pb 0.181 0.000 0.486

## Properties
Energy of formation from the pure elements = 0.002 eV/atom


Copy entry 1 word for word.
Below is Ni2TeOsW after structural relaxation, with properties calculated at the GGA-PBEsol level.

a = 4.344 Å, b = 4.344 Å, c = 4.965 Å
α = 90.00°, β = 90.00°, γ = 90.00°
Site moments in Bohr magnetons follow the coordinates.
Fractional coordinates of all 5 atoms:
W 0.000 0.000 0.500  -0.10
Ni 0.500 0.000 0.000  0.15
Ni 0.000 0.500 0.000  0.15
Te 0.000 0.000 0.000  0.03
Os 0.500 0.500 0.500  1.53

## Properties
Raw formation energy = 2083 meV per atom